K2Sn | PBE | optimized geometry

## Properties
calculated formation energy: -0.434 eV/f.u.
energy above the most stable polymorph in this dataset: 0 meV/atom
symmetry: C2/m, No. 12

Cell lengths 4.533, 6.885, 10.440 Å; angles 67.55, 77.46, 70.78 degrees
Atoms (fractional coordinates):
K  0.519  0.141  0.820
Sn  0.203  0.644  0.949
K  0.828  0.697  0.646
Sn  0.797  0.356  0.051
K  0.172  0.303  0.354
K  0.481  0.859  0.180